1.
## Y3Cl5 (PBE)

Data for a geometry-optimized Y3Cl5 structure.

## Properties
Calculated total energy = -40.843 eV/cell
Space group = Cmmm (65)
V = 189.63 Å³/cell
E_form (uncorrected) = -1178.8 kJ/mol of formula units

a b c (Å): 7.3364 7.3364 3.6003
angles (deg): 90.00 90.00 101.88
Element x y z (fractional)
Y1 0.0000 0.0000 0.0000
Y2 0.3005 0.6995 0.5000
Y3 0.6995 0.3005 0.5000
Cl1 0.0000 0.5000 0.0000
Cl2 0.2157 0.2157 0.5000
Cl3 0.5000 0.0000 0.0000
Cl4 0.5000 0.5000 0.0000
Cl5 0.7843 0.7843 0.5000

2.
## YCl3 (PBE)

Data for a geometry-optimized YCl3 structure.

## Properties
Calculated total energy = -42.278 eV/cell
Space group = C2/m (12)
V = 279.57 Å³/cell
E_form (uncorrected) = -881.4 kJ/mol of formula units

a b c (Å): 7.0040 7.0040 6.9911
angles (deg): 99.72 99.72 119.99
Element x y z (fractional)
Y1 0.1662 0.8338 0.0000
Y2 0.8338 0.1662 0.0000
Cl1 0.0492 0.4237 0.7731
Cl2 0.2017 0.2017 0.2283
Cl3 0.4237 0.0492 0.7731
Cl4 0.5763 0.9508 0.2269
Cl5 0.7983 0.7983 0.7717
Cl6 0.9508 0.5763 0.2269

3.
## YCl3 (PBE)

Data for a geometry-optimized YCl3 structure.

## Properties
Calculated total energy = -20.090 eV/cell
Space group = Immm (71)
V = 126.01 Å³/cell
E_form (uncorrected) = -780.2 kJ/mol of formula units

a b c (Å): 7.6270 7.6270 7.6270
angles (deg): 152.92 141.23 47.93
Element x y z (fractional)
Y1 0.0000 0.0000 0.0000
Cl1 0.1420 0.6420 0.5000
Cl2 0.5000 0.5000 0.0000
Cl3 0.8580 0.3580 0.5000

4.
## YCl3 (PBE)

Data for a geometry-optimized YCl3 structure.

## Properties
Calculated total energy = -41.970 eV/cell
Space group = Pmmn (59)
V = 235.43 Å³/cell
E_form (uncorrected) = -866.5 kJ/mol of formula units

a b c (Å): 3.7990 8.6130 7.1950
angles (deg): 90.00 90.00 90.00
Element x y z (fractional)
Y1 0.2500 0.2500 0.0162
Y2 0.7500 0.7500 0.9838
Cl1 0.2500 0.5693 0.1692
Cl2 0.2500 0.7500 0.7252
Cl3 0.2500 0.9307 0.1692
Cl4 0.7500 0.0693 0.8308
Cl5 0.7500 0.2500 0.2748
Cl6 0.7500 0.4307 0.8308

5.
## YCl3 (PBE)

Data for a geometry-optimized YCl3 structure.

## Properties
Calculated total energy = -18.697 eV/cell
Space group = Fm-3m (225)
V = 83.24 Å³/cell
E_form (uncorrected) = -645.7 kJ/mol of formula units

a b c (Å): 4.9009 4.9009 4.9009
angles (deg): 60.00 60.00 60.00
Element x y z (fractional)
Y1 0.0000 0.0000 0.0000
Cl1 0.2500 0.2500 0.2500
Cl2 0.5000 0.5000 0.5000
Cl3 0.7500 0.7500 0.7500

6.
## Y5Cl (PBE)

Data for a geometry-optimized Y5Cl structure.

## Properties
Calculated total energy = -32.460 eV/cell
Space group = F-43m (216)
V = 207.06 Å³/cell
Polymorph energy (0 for the lowest one) = 628 meV per atom
E_form (uncorrected) = 164.7 kJ/mol of formula units

a b c (Å): 6.6406 6.6406 6.6406
angles (deg): 60.00 60.00 60.00
Element x y z (fractional)
Y1 0.0000 0.0000 0.0000
Y2 0.1181 0.6273 0.6273
Y3 0.6273 0.1181 0.6273
Y4 0.6273 0.6273 0.1181
Y5 0.6273 0.6273 0.6273
Cl1 0.2500 0.2500 0.2500

7.
## YCl3 (PBE)

Data for a geometry-optimized YCl3 structure.

## Properties
Calculated total energy = -19.421 eV/cell
Space group = P4mm (99)
V = 129.77 Å³/cell
E_form (uncorrected) = -715.7 kJ/mol of formula units

a b c (Å): 4.3708 4.3708 6.7931
angles (deg): 90.00 90.00 90.00
Element x y z (fractional)
Y1 0.0000 0.0000 0.0000
Cl1 0.0000 0.5000 0.7904
Cl2 0.5000 0.0000 0.7904
Cl3 0.5000 0.5000 0.1997

8.
## YCl3 (PBE)

Data for a geometry-optimized YCl3 structure.

## Properties
Calculated total energy = -17.472 eV/cell
Space group = R-3m (166)
V = 121.55 Å³/cell
E_form (uncorrected) = -527.6 kJ/mol of formula units

a b c (Å): 8.8343 8.8343 8.8343
angles (deg): 26.56 26.56 26.56
Element x y z (fractional)
Y1 0.0000 0.0000 0.0000
Cl1 0.3873 0.3873 0.3873
Cl2 0.5000 0.5000 0.5000
Cl3 0.6127 0.6127 0.6127

9.
## YCl3 (PBE)

Data for a geometry-optimized YCl3 structure.

## Properties
Calculated total energy = -21.011 eV/cell
Space group = P2/m (10)
V = 144.94 Å³/cell
E_form (uncorrected) = -869.0 kJ/mol of formula units

a b c (Å): 5.3002 3.9814 7.3597
angles (deg): 90.00 111.05 90.00
Element x y z (fractional)
Y1 0.0000 0.0000 0.0000
Cl1 0.1294 0.5000 0.2585
Cl2 0.5000 0.0000 0.0000
Cl3 0.8706 0.5000 0.7415

10.
## YCl3 (PBE)

Data for a geometry-optimized YCl3 structure.

## Properties
Calculated total energy = -18.036 eV/cell
Space group = Pm-3m (221)
V = 84.97 Å³/cell
E_form (uncorrected) = -582.0 kJ/mol of formula units

a b c (Å): 4.3962 4.3962 4.3962
angles (deg): 90.00 90.00 90.00
Element x y z (fractional)
Y1 0.0000 0.0000 0.0000
Cl1 0.0000 0.5000 0.5000
Cl2 0.5000 0.0000 0.5000
Cl3 0.5000 0.5000 0.0000

11.
## Y3Cl2 (PBE)

Data for a geometry-optimized Y3Cl2 structure.

## Properties
Calculated total energy = -56.003 eV/cell
Space group = R-3c (167)
V = 251.91 Å³/cell
E_form (uncorrected) = -474.3 kJ/mol of formula units

a b c (Å): 7.3271 7.3271 7.3271
angles (deg): 55.93 55.93 55.93
Element x y z (fractional)
Y1 0.0920 0.7500 0.4080
Y2 0.2500 0.5920 0.9080
Y3 0.4080 0.0920 0.7500
Y4 0.5920 0.9080 0.2500
Y5 0.7500 0.4080 0.0920
Y6 0.9080 0.2500 0.5920
Cl1 0.1656 0.1656 0.1656
Cl2 0.3344 0.3344 0.3344
Cl3 0.6656 0.6656 0.6656
Cl4 0.8344 0.8344 0.8344

12.
## YCl3 (PBE)

Data for a geometry-optimized YCl3 structure.

## Properties
Calculated total energy = -19.013 eV/cell
Space group = R-3m (166)
V = 98.91 Å³/cell
E_form (uncorrected) = -676.2 kJ/mol of formula units

a b c (Å): 6.1068 6.1068 6.1068
angles (deg): 43.76 43.76 43.76
Element x y z (fractional)
Y1 0.0000 0.0000 0.0000
Cl1 0.2802 0.2802 0.2802
Cl2 0.5000 0.5000 0.5000
Cl3 0.7198 0.7198 0.7198

13.
## YCl3 (PBE)

Data for a geometry-optimized YCl3 structure.

## Properties
Calculated total energy = -18.767 eV/cell
Space group = I4/mmm (139)
V = 83.03 Å³/cell
E_form (uncorrected) = -652.5 kJ/mol of formula units

a b c (Å): 5.1520 5.1520 5.1520
angles (deg): 127.73 127.73 77.07
Element x y z (fractional)
Y1 0.0000 0.0000 0.0000
Cl1 0.2500 0.7500 0.5000
Cl2 0.5000 0.5000 0.0000
Cl3 0.7500 0.2500 0.5000

14.
## YCl3 (PBE)

Data for a geometry-optimized YCl3 structure.

## Properties
Calculated total energy = -20.886 eV/cell
Space group = Imm2 (44)
V = 136.11 Å³/cell
E_form (uncorrected) = -857.0 kJ/mol of formula units

a b c (Å): 6.7163 6.7163 6.7163
angles (deg): 148.80 70.66 118.42
Element x y z (fractional)
Y1 0.0000 0.0000 0.0000
Cl1 0.0108 0.3552 0.6557
Cl2 0.2861 0.7861 0.5000
Cl3 0.6995 0.3552 0.3443

15.
## Y7Cl (PBE)

Data for a geometry-optimized Y7Cl structure.

## Properties
Calculated total energy = -47.038 eV/cell
Space group = Fm-3m (225)
V = 251.05 Å³/cell
E_form (uncorrected) = 5.6 kJ/mol of formula units

a b c (Å): 7.0809 7.0809 7.0809
angles (deg): 60.00 60.00 60.00
Element x y z (fractional)
Y1 0.0000 0.0000 0.0000
Y2 0.0000 0.0000 0.5000
Y3 0.0000 0.5000 0.0000
Y4 0.0000 0.5000 0.5000
Y5 0.5000 0.0000 0.0000
Y6 0.5000 0.0000 0.5000
Y7 0.5000 0.5000 0.0000
Cl1 0.5000 0.5000 0.5000